1.
The following is a GGA-PBE calculation of a relaxed LaSc2FeMo crystal, from Alexandria via LeMat-Bulk.

- Fermi-level density of states (states/eV/atom) = 1.48
- SG = P4/mmm (123)
- calculated density (g/cm³) = 5.65
- formation energy from the elements (eV per atom) = 0.234
- DFT total energy (eV/cell) = -35.72

Cell lengths 4.8851, 4.8851, 4.6842 Å; angles 90.00, 90.00, 90.00 degrees
Fractional coordinates of all 5 atoms:
La: 0.0000 0.0000 0.0000
Sc: 0.0000 0.5000 0.5000
Sc: 0.5000 0.0000 0.5000
Fe: 0.5000 0.5000 0.5000
Mo: 0.5000 0.5000 0.0000

---

2.
The following is a GGA-PBE calculation of a relaxed La2FeMoSe crystal, from Alexandria via LeMat-Bulk.

- Fermi-level density of states (states/eV/atom) = 0.95
- SG = P4/mmm (123)
- calculated density (g/cm³) = 6.55
- DFT total energy (eV/cell) = -32.90

Cell lengths 5.4478, 5.4478, 4.3474 Å; angles 90.00, 90.00, 90.00 degrees
Fractional coordinates of all 5 atoms:
La: 0.0000 0.5000 0.0000
La: 0.5000 0.0000 0.0000
Fe: 0.0000 0.0000 0.0000
Mo: 0.0000 0.0000 0.5000
Se: 0.5000 0.5000 0.5000

---

3.
The following is a GGA-PBE calculation of a relaxed La2FeN3 crystal, from Alexandria via LeMat-Bulk.

- Fermi-level density of states (states/eV/atom) = 0.55
- SG = C2/c (15)
- calculated density (g/cm³) = 7.07
- DFT total energy (eV/cell) = -196.38

Cell lengths 6.1288, 6.1288, 11.9719 Å; angles 91.46, 91.46, 128.14 degrees
Fractional coordinates of all 24 atoms:
La: 0.0287 0.4335 0.3501
La: 0.1376 0.3459 0.9328
La: 0.3459 0.1376 0.4328
La: 0.4335 0.0287 0.8501
La: 0.5665 0.9713 0.1499
La: 0.6541 0.8624 0.5672
La: 0.8624 0.6541 0.0672
La: 0.9713 0.5665 0.6499
Fe: 0.2733 0.2736 0.1746
Fe: 0.2736 0.2733 0.6746
Fe: 0.7264 0.7267 0.3254
Fe: 0.7267 0.7264 0.8254
N: 0.0011 0.9989 0.2500
N: 0.1175 0.4652 0.1336
N: 0.1480 0.3405 0.5386
N: 0.3405 0.1480 0.0386
N: 0.3979 0.6021 0.7500
N: 0.4652 0.1175 0.6336
N: 0.5348 0.8825 0.3664
N: 0.6021 0.3979 0.2500
N: 0.6595 0.8520 0.9614
N: 0.8520 0.6595 0.4614
N: 0.8825 0.5348 0.8664
N: 0.9989 0.0011 0.7500

---

4.
The following is a GGA-PBE calculation of a relaxed La12Fe3N5 crystal, from Alexandria via LeMat-Bulk.

- Fermi-level density of states (states/eV/atom) = 0.80
- SG = Ia-3d (230)
- calculated density (g/cm³) = 6.32
- DFT total energy (eV/cell) = -543.82

Cell lengths 13.7520, 13.7520, 13.7520 Å; angles 109.47, 109.47, 109.47 degrees
Fractional coordinates of all 80 atoms:
La: 0.0264 0.2063 0.1229
La: 0.0264 0.3202 0.9035
La: 0.0833 0.7063 0.6798
La: 0.0833 0.8771 0.4035
La: 0.0965 0.6229 0.4167
La: 0.0965 0.9736 0.6798
La: 0.1229 0.0264 0.2063
La: 0.1229 0.5965 0.9167
La: 0.1798 0.2063 0.5833
La: 0.1798 0.4736 0.5965
La: 0.2063 0.1229 0.0264
La: 0.2063 0.5833 0.1798
La: 0.2937 0.3202 0.9167
La: 0.2937 0.4736 0.3771
La: 0.3202 0.9035 0.0264
La: 0.3202 0.9167 0.2937
La: 0.3771 0.2937 0.4736
La: 0.3771 0.5833 0.9035
La: 0.4035 0.0833 0.8771
La: 0.4035 0.8202 0.5264
La: 0.4167 0.0965 0.6229
La: 0.4167 0.8202 0.7937
La: 0.4736 0.3771 0.2937
La: 0.4736 0.5965 0.1798
La: 0.5264 0.4035 0.8202
La: 0.5264 0.6229 0.7063
La: 0.5833 0.1798 0.2063
La: 0.5833 0.9035 0.3771
La: 0.5965 0.1798 0.4736
La: 0.5965 0.9167 0.1229
La: 0.6229 0.4167 0.0965
La: 0.6229 0.7063 0.5264
La: 0.6798 0.0833 0.7063
La: 0.6798 0.0965 0.9736
La: 0.7063 0.5264 0.6229
La: 0.7063 0.6798 0.0833
La: 0.7937 0.4167 0.8202
La: 0.7937 0.8771 0.9736
La: 0.8202 0.5264 0.4035
La: 0.8202 0.7937 0.4167
La: 0.8771 0.4035 0.0833
La: 0.8771 0.9736 0.7937
La: 0.9035 0.0264 0.3202
La: 0.9035 0.3771 0.5833
La: 0.9167 0.1229 0.5965
La: 0.9167 0.2937 0.3202
La: 0.9736 0.6798 0.0965
La: 0.9736 0.7937 0.8771
Fe: 0.1250 0.2500 0.3750
Fe: 0.1250 0.3750 0.7500
Fe: 0.2500 0.3750 0.1250
Fe: 0.2500 0.8750 0.6250
Fe: 0.3750 0.1250 0.2500
Fe: 0.3750 0.7500 0.1250
Fe: 0.6250 0.2500 0.8750
Fe: 0.6250 0.8750 0.7500
Fe: 0.7500 0.1250 0.3750
Fe: 0.7500 0.6250 0.8750
Fe: 0.8750 0.6250 0.2500
Fe: 0.8750 0.7500 0.6250
N: 0.0000 0.0000 0.0000
N: 0.0000 0.0000 0.5000
N: 0.0000 0.5000 0.0000
N: 0.0000 0.5000 0.5000
N: 0.1250 0.7500 0.8750
N: 0.1250 0.8750 0.2500
N: 0.2500 0.1250 0.8750
N: 0.2500 0.6250 0.3750
N: 0.3750 0.2500 0.6250
N: 0.3750 0.6250 0.7500
N: 0.5000 0.0000 0.0000
N: 0.5000 0.0000 0.5000
N: 0.5000 0.5000 0.0000
N: 0.5000 0.5000 0.5000
N: 0.6250 0.3750 0.2500
N: 0.6250 0.7500 0.3750
N: 0.7500 0.3750 0.6250
N: 0.7500 0.8750 0.1250
N: 0.8750 0.1250 0.7500
N: 0.8750 0.2500 0.1250

---

5.
The following is a GGA-PBE calculation of a relaxed LaFeN2 crystal, from Alexandria via LeMat-Bulk.

- Fermi-level density of states (states/eV/atom) = 1.28
- ΔE to the lowest computed polymorph (meV per atom) = 977
- SG = Fm-3m (225)
- calculated density (g/cm³) = 7.29
- DFT total energy (eV/cell) = -29.23

Cell lengths 4.1548, 4.1548, 4.1548 Å; angles 60.00, 60.00, 60.00 degrees
Fractional coordinates of all 4 atoms:
La: 0.0000 0.0000 0.0000
Fe: 0.5000 0.5000 0.5000
N: 0.2500 0.2500 0.2500
N: 0.7500 0.7500 0.7500

---

6.
The following is a GGA-PBE calculation of a relaxed LaFeN2 crystal, from Alexandria via LeMat-Bulk.

- Fermi-level density of states (states/eV/atom) = 0.60
- ΔE to the lowest computed polymorph (meV per atom) = 0
- SG = P3_121 (152)
- calculated density (g/cm³) = 6.54
- DFT total energy (eV/cell) = -99.41

Cell lengths 5.5399, 5.5399, 6.3845 Å; angles 90.00, 90.00, 120.00 degrees
Fractional coordinates of all 12 atoms:
La: 0.0000 0.6512 0.1667
La: 0.3488 0.3488 0.5000
La: 0.6512 0.0000 0.8333
Fe: 0.0000 0.5817 0.6667
Fe: 0.4183 0.4183 0.0000
Fe: 0.5817 0.0000 0.3333
N: 0.1328 0.4353 0.8718
N: 0.3025 0.8672 0.5385
N: 0.4353 0.1328 0.1282
N: 0.5647 0.6975 0.2052
N: 0.6975 0.5647 0.7948
N: 0.8672 0.3025 0.4615